56
Lattice="11.308 0.000 0.000 0.000 12.077 0.000 0.000 0.000 13.393" Properties=species:S:1:pos:R:3 comment="AlTe2Cl4, relaxed, DFT GGA-PBEsol" raw_formation_energy_mev_per_atom=-955.6 pbc="T T T"
Al 4.517 1.142 4.815
Al 10.170 10.935 1.881
Al 1.137 7.180 8.578
Al 6.791 4.897 11.512
Al 6.791 10.935 8.578
Al 1.137 1.142 11.512
Al 10.170 4.897 4.815
Al 4.517 7.180 1.881
Te 11.171 4.363 0.894
Te 5.517 7.714 5.803
Te 5.790 10.401 12.500
Te 0.137 1.676 7.590
Te 0.137 7.714 12.500
Te 5.790 4.363 7.590
Te 5.517 1.676 0.894
Te 11.171 10.401 5.803
Te 4.267 5.333 5.586
Te 9.921 6.744 1.110
Te 1.387 11.371 7.807
Te 7.041 0.706 12.283
Te 7.041 6.744 7.807
Te 1.387 5.333 12.283
Te 9.921 0.706 5.586
Te 4.267 11.371 1.110
Cl 4.401 5.095 1.480
Cl 10.055 6.982 5.217
Cl 1.253 11.133 11.913
Cl 6.906 0.944 8.177
Cl 6.906 6.982 11.913
Cl 1.253 5.095 8.177
Cl 10.055 0.944 1.480
Cl 4.401 11.133 5.217
Cl 0.823 4.184 4.374
Cl 6.477 7.893 2.323
Cl 4.831 10.223 9.019
Cl 10.485 1.854 11.071
Cl 10.485 7.893 9.019
Cl 4.831 4.184 11.071
Cl 6.477 1.854 4.374
Cl 0.823 10.223 2.323
Cl 3.673 2.275 6.472
Cl 9.326 9.802 0.225
Cl 1.981 8.313 6.921
Cl 7.635 3.764 13.169
Cl 7.635 9.802 6.921
Cl 1.981 2.275 13.169
Cl 9.326 3.764 6.472
Cl 3.673 8.313 0.225
Cl 3.231 1.588 3.118
Cl 8.885 10.489 3.579
Cl 2.422 7.627 10.276
Cl 8.076 4.450 9.814
Cl 8.076 10.489 10.276
Cl 2.422 1.588 9.814
Cl 8.885 4.450 3.118
Cl 3.231 7.627 3.579